#w
VASP calculation (GGA-PBE) on a geometry-optimized Ni2RhW structure.

Unit cell a=4.525 b=4.525 c=2.702 alpha=90.03 beta=90.03 gamma=109.66
Fractional positions:
Ni: 0.000 0.000 0.000
Ni: 0.500 0.500 0.000
Rh: 0.500 0.000 0.500
W: 0.000 0.500 0.500

Computed properties:
DOS(E_F): 0.86 states/eV/atom
magnetic moment: 0.00 μB/cell

=====

#x
VASP calculation (GGA-PBE) on a geometry-optimized Ni2RhW structure.

Unit cell a=8.705 b=8.705 c=8.705 alpha=17.74 beta=17.74 gamma=17.74
Last column: magnetic moment on the atom in μB.
Fractional positions:
Ni: 0.000 0.000 0.000  0.45
Ni: 0.500 0.500 0.500  0.45
Rh: 0.250 0.250 0.250  0.77
W: 0.750 0.750 0.750  -0.01

Computed properties:
DOS(E_F): 1.33 states/eV/atom
magnetic moment: 1.60 μB/cell

=====

Name the least stable of them. #x.

=====

#w
VASP calculation (GGA-PBE) on a geometry-optimized Cr2FeRe structure.

Unit cell a=8.598 b=8.598 c=8.598 alpha=17.51 beta=17.51 gamma=17.51
Last column: magnetic moment on the atom in μB.
Fractional positions:
Cr: 0.994 0.994 0.994  -0.23
Cr: 0.506 0.506 0.506  -0.23
Fe: 0.250 0.250 0.250  1.02
Re: 0.750 0.750 0.750  0.01

Computed properties:
DOS(E_F): 1.50 states/eV/atom
magnetic moment: 0.54 μB/cell

=====

#x
VASP calculation (GGA-PBE) on a geometry-optimized Cr2FeRe structure.

Unit cell a=3.643 b=3.686 c=3.686 alpha=90.00 beta=90.00 gamma=90.00
Last column: magnetic moment on the atom in μB.
Fractional positions:
Cr: 0.000 0.000 0.000  -0.14
Cr: 0.000 0.500 0.500  -0.14
Fe: 0.500 0.500 0.000  1.42
Re: 0.500 0.000 0.500  -0.02

Computed properties:
DOS(E_F): 1.23 states/eV/atom
magnetic moment: 1.13 μB/cell

=====

Name the least stable of them. #w.

=====

#w
VASP calculation (GGA-PBE) on a geometry-optimized BC3 structure.

Unit cell a=4.494 b=4.494 c=4.523 alpha=99.36 beta=99.36 gamma=119.99
Fractional positions:
B: 0.040 0.707 0.128
B: 0.502 0.497 0.493
B: 0.830 0.169 0.493
C: 0.168 0.835 0.515
C: 0.371 0.373 0.113
C: 0.345 0.664 0.991
C: 0.207 0.557 0.641
C: 0.707 0.037 0.113
C: 0.655 0.322 0.993
C: 0.537 0.204 0.639
C: 0.997 0.011 0.991
C: 0.890 0.874 0.641

Computed properties:
DOS(E_F): 0.12 states/eV/atom
magnetic moment: 0.00 μB/cell

=====

#x
VASP calculation (GGA-PBE) on a geometry-optimized BC3 structure.

Unit cell a=5.962 b=5.962 c=5.213 alpha=104.25 beta=104.25 gamma=24.43
Fractional positions:
B: 0.925 0.925 0.177
B: 0.322 0.322 0.175
B: 0.001 0.001 0.528
C: 0.010 0.010 0.993
C: 0.246 0.246 0.384
C: 0.910 0.910 0.709
C: 0.665 0.665 0.338
C: 0.587 0.587 0.539
C: 0.329 0.329 0.673
C: 0.248 0.248 0.867
C: 0.669 0.669 0.832
C: 0.588 0.588 0.034

Computed properties:
DOS(E_F): 0.09 states/eV/atom
magnetic moment: 0.00 μB/cell

=====

Name the least stable of them. #x.